No. 1
CsRb2Sr2Cl7 | PBE | optimized geometry

Calculated values
The uncorrected formation energy comes out at -2209 meV/atom. Its crystal system is monoclinic. The calculation puts the density of states at the Fermi level at 0.000 states/eV/atom. The volume comes out at 38.27 Å³ per atom.

Structure (extended XYZ):
```
12
Lattice="4.0537 -4.0288 0.0000 4.0537 4.0288 0.0000 -3.9401 0.0000 14.0602" Properties=species:S:1:pos:R:3 pbc="T T T"
Cs 0.0000 0.0000 0.0000
Rb -0.3159 0.0000 5.1564
Rb 4.4832 0.0000 8.9038
Sr 0.1556 0.0000 11.1663
Sr 4.0117 0.0000 2.8939
Cl 1.9582 1.9811 2.8203
Cl -0.1426 0.0000 8.3453
Cl 2.2091 1.9811 11.2399
Cl 4.0537 0.0000 0.0000
Cl 1.9582 -1.9811 2.8203
Cl 4.3100 0.0000 5.7149
Cl 2.2091 -1.9811 11.2399
```

No. 2
CsRb2SrCl5 | PBE | optimized geometry

Calculated values
The uncorrected formation energy comes out at -2112 meV/atom. Its crystal system is orthorhombic. The calculation puts the density of states at the Fermi level at 0.000 states/eV/atom. The volume comes out at 39.48 Å³ per atom.

Structure (extended XYZ):
```
9
Lattice="-2.7830 3.9824 8.0141 2.7830 -3.9824 8.0141 2.7830 3.9824 -8.0141" Properties=species:S:1:pos:R:3 pbc="T T T"
Cs 0.0000 0.0000 0.0000
Rb 2.7830 0.0000 4.6613
Rb 0.0000 3.9824 3.3528
Sr 0.0000 0.0000 8.0141
Cl 2.7830 2.0142 -2.1098
Cl 2.7830 2.0142 2.1098
Cl 0.0000 3.9824 0.0000
Cl 0.0000 1.9682 5.9043
Cl 0.0000 1.9682 10.1240
```

No. 3
Cs3Rb2SrCl6 | PBE | optimized geometry

Calculated values
The uncorrected formation energy comes out at -1895 meV/atom. Its crystal system is monoclinic. The calculation puts the density of states at the Fermi level at 0.200 states/eV/atom. The volume comes out at 41.79 Å³ per atom.

Structure (extended XYZ):
```
12
Lattice="4.1814 -7.2650 0.0000 4.1814 7.2650 0.0000 -2.7286 0.0000 8.2546" Properties=species:S:1:pos:R:3 pbc="T T T"
Cs 0.0000 0.0000 0.0000
Cs 4.1814 2.4060 0.0000
Cs 4.1814 -2.4060 0.0000
Rb 2.8171 4.8420 4.1273
Rb 2.8171 -4.8420 4.1273
Sr 2.8171 0.0000 4.1273
Cl 1.5865 2.1131 2.4591
Cl 0.3817 0.0000 5.8370
Cl 1.5865 -2.1131 2.4591
Cl 4.0476 2.1131 5.7956
Cl 5.2525 0.0000 2.4176
Cl 4.0476 -2.1131 5.7956
```

No. 4
CsRb2SrCl6 | PBE | optimized geometry

Calculated values
The uncorrected formation energy comes out at -1707 meV/atom. Its crystal system is cubic. The calculation puts the density of states at the Fermi level at 2.237 states/eV/atom. The volume comes out at 45.66 Å³ per atom.

Structure (extended XYZ):
```
10
Lattice="0.0000 6.1118 6.1118 6.1118 0.0000 6.1118 6.1118 6.1118 0.0000" Properties=species:S:1:pos:R:3 pbc="T T T"
Cs 0.0000 0.0000 0.0000
Rb 3.0559 3.0559 3.0559
Rb 9.1676 9.1676 9.1676
Sr 6.1118 6.1118 6.1118
Cl 6.1118 6.1118 3.2688
Cl 6.1118 3.2688 6.1118
Cl 8.9547 6.1118 6.1118
Cl 3.2688 6.1118 6.1118
Cl 6.1118 8.9547 6.1118
Cl 6.1118 6.1118 8.9547
```

No. 5
Cs2Rb3SrCl6 | PBE | optimized geometry

Calculated values
The uncorrected formation energy comes out at -1888 meV/atom. Its crystal system is monoclinic. The calculation puts the density of states at the Fermi level at 0.172 states/eV/atom. The volume comes out at 41.73 Å³ per atom.

Structure (extended XYZ):
```
12
Lattice="4.2214 -7.4846 0.0000 4.2214 7.4846 0.0000 -2.6411 0.0000 7.9240" Properties=species:S:1:pos:R:3 pbc="T T T"
Cs 4.2214 4.9519 0.0000
Cs 4.2214 -4.9519 0.0000
Rb -1.3206 0.0000 3.9620
Rb 2.9009 2.3494 3.9620
Rb 2.9009 -2.3494 3.9620
Sr 4.2214 0.0000 0.0000
Cl 0.3786 2.0569 6.1795
Cl 1.8155 0.0000 1.7706
Cl 0.3786 -2.0569 6.1795
Cl 5.4231 2.0569 1.7444
Cl 3.9862 0.0000 6.1534
Cl 5.4231 -2.0569 1.7444
```

No. 6
CsRb2TaCl6 | PBE | optimized geometry

Calculated values
The uncorrected formation energy comes out at -1533 meV/atom. Its crystal system is cubic. The calculation puts the density of states at the Fermi level at 0.800 states/eV/atom. The volume comes out at 37.32 Å³ per atom.

Structure (extended XYZ):
```
10
Lattice="0.0000 5.7144 5.7144 5.7144 0.0000 5.7144 5.7144 5.7144 0.0000" Properties=species:S:1:pos:R:3 pbc="T T T"
Cs 0.0000 0.0000 0.0000
Rb 2.8572 2.8572 2.8572
Rb 8.5716 8.5716 8.5716
Ta 5.7144 5.7144 5.7144
Cl 5.7144 5.7144 3.2385
Cl 5.7144 3.2385 5.7144
Cl 8.1903 5.7144 5.7144
Cl 3.2385 5.7144 5.7144
Cl 5.7144 8.1903 5.7144
Cl 5.7144 5.7144 8.1903
```

No. 7
CsRb2TaCl8 | PBE | optimized geometry

Calculated values
The uncorrected formation energy comes out at -1630 meV/atom. Its crystal system is triclinic. The volume comes out at 38.15 Å³ per atom.

Structure (extended XYZ):
```
12
Lattice="6.0274 0.0000 0.0000 2.3226 7.3789 0.0000 0.0022 0.0090 10.2934" Properties=species:S:1:pos:R:3 pbc="T T T"
Cs 0.0000 0.0000 0.0000
Rb 4.1590 3.6858 2.3635
Rb 4.1932 3.7022 7.9299
Ta 0.0011 0.0045 5.1467
Cl 0.9829 1.3564 6.8347
Cl 0.9792 1.3575 3.4567
Cl 4.2085 5.9454 5.1441
Cl 3.0657 1.9885 10.2837
Cl 5.2865 5.3994 0.0097
Cl 4.1437 1.4426 5.1493
Cl 7.3730 6.0305 6.8368
Cl 7.3692 6.0316 3.4587
```

No. 8
Cs2RbTbCl6 | PBE | optimized geometry

Calculated values
The uncorrected formation energy comes out at -2168 meV/atom. Its crystal system is monoclinic. The calculation puts the density of states at the Fermi level at 0.000 states/eV/atom. The value obtained for the energy above the lowest structure with this stoichiometry is 0 meV/atom. The volume comes out at 38.15 Å³ per atom.

Structure (extended XYZ):
```
20
Lattice="8.0090 0.0000 0.0000 0.0000 8.3212 0.0000 -7.9831 0.0000 11.4499" Properties=species:S:1:pos:R:3 pbc="T T T"
Cs -0.1329 0.4823 2.8471
Cs -4.1244 3.6783 8.5721
Cs 4.1503 4.6429 2.8778
Cs 0.1587 7.8388 8.6028
Rb -3.9916 0.0000 5.7250
Rb 0.0000 4.1606 0.0000
Tb 4.0045 0.0000 0.0000
Tb 0.0129 4.1606 5.7250
Cl -6.1310 1.5078 10.9769
Cl -2.1394 2.6528 5.2520
Cl -5.3920 6.1200 10.8689
Cl -1.4004 6.3617 5.1439
Cl -3.2769 0.2479 8.8874
Cl 0.7146 3.9127 3.1624
Cl -0.6888 4.4085 8.2875
Cl 3.3028 8.0733 2.5625
Cl 1.4262 1.9594 6.3060
Cl 5.4178 2.2011 0.5810
Cl 2.1652 5.6684 6.1980
Cl 6.1568 6.8134 0.4730
```

No. 9
CsRb2TbCl6 | PBE | optimized geometry

Calculated values
The uncorrected formation energy comes out at -2064 meV/atom. Its crystal system is cubic. The calculation puts the density of states at the Fermi level at 0.000 states/eV/atom. The volume comes out at 41.47 Å³ per atom.

Structure (extended XYZ):
```
10
Lattice="0.0000 5.9189 5.9189 5.9189 0.0000 5.9189 5.9189 5.9189 0.0000" Properties=species:S:1:pos:R:3 pbc="T T T"
Cs 0.0000 0.0000 0.0000
Rb 2.9595 2.9595 2.9595
Rb 8.8784 8.8784 8.8784
Tb 5.9189 5.9189 5.9189
Cl 5.9189 5.9189 3.2681
Cl 5.9189 3.2681 5.9189
Cl 8.5698 5.9189 5.9189
Cl 3.2681 5.9189 5.9189
Cl 5.9189 8.5698 5.9189
Cl 5.9189 5.9189 8.5698
```

No. 10
Cs2RbTbCl6 | PBE | optimized geometry

Calculated values
The uncorrected formation energy comes out at -2144 meV/atom. Its crystal system is cubic. The calculation puts the density of states at the Fermi level at 0.000 states/eV/atom. The value obtained for the energy above the lowest structure with this stoichiometry is 23 meV/atom. The volume comes out at 38.96 Å³ per atom.

Structure (extended XYZ):
```
10
Lattice="0.0000 5.7968 5.7968 5.7968 0.0000 5.7968 5.7968 5.7968 0.0000" Properties=species:S:1:pos:R:3 pbc="T T T"
Cs 2.8984 2.8984 2.8984
Cs 8.6952 8.6952 8.6952
Rb 0.0000 0.0000 0.0000
Tb 5.7968 5.7968 5.7968
Cl 5.7968 5.7968 3.1431
Cl 5.7968 3.1431 5.7968
Cl 8.4504 5.7968 5.7968
Cl 3.1431 5.7968 5.7968
Cl 5.7968 8.4504 5.7968
Cl 5.7968 5.7968 8.4504
```

No. 11
CsRb2TbCl6 | PBE | optimized geometry

Calculated values
The uncorrected formation energy comes out at -2143 meV/atom. Its crystal system is monoclinic. The calculation puts the density of states at the Fermi level at 0.000 states/eV/atom. The volume comes out at 37.57 Å³ per atom.

Structure (extended XYZ):
```
20
Lattice="7.9183 0.0000 0.0000 0.0000 8.3986 0.0000 -7.7602 0.0000 11.2992" Properties=species:S:1:pos:R:3 pbc="T T T"
Cs 0.0000 0.0000 0.0000
Cs -3.8801 4.1993 5.6496
Rb -4.0688 0.5965 8.3959
Rb -0.1887 3.6028 2.7463
Rb 0.3468 4.7958 8.5529
Rb 4.2269 7.8021 2.9033
Tb 0.0791 0.0000 5.6496
Tb 3.9592 4.1993 0.0000
Cl -2.0626 1.4337 4.9866
Cl -5.9427 2.7656 10.6362
Cl -1.1462 6.2042 4.6971
Cl -5.0263 6.3937 10.3467
Cl 1.1203 0.5451 3.2446
Cl -2.7598 3.6541 8.8942
Cl 2.9179 4.7444 2.4050
Cl -0.9622 7.8534 8.0546
Cl 5.1844 2.0049 0.9525
Cl 1.3043 2.1944 6.6021
Cl 6.1008 5.6329 0.6630
Cl 2.2207 6.9649 6.3126
```

No. 12
Cs2RbTcCl8 | PBE | optimized geometry

Calculated values
The uncorrected formation energy comes out at -1262 meV/atom. Its crystal system is monoclinic. The calculation puts the density of states at the Fermi level at 0.634 states/eV/atom. The volume comes out at 38.16 Å³ per atom.

Structure (extended XYZ):
```
12
Lattice="6.1711 0.0000 0.0000 0.0000 10.4674 0.0000 -1.3598 0.0000 7.0896" Properties=species:S:1:pos:R:3 pbc="T T T"
Cs 0.0000 2.4953 0.0000
Cs 0.0000 7.9722 0.0000
Rb 2.4057 5.2337 3.5448
Tc 2.4057 0.0000 3.5448
Cl -0.8340 5.2337 5.1490
Cl 0.3852 0.0000 2.3913
Cl 1.6130 1.7003 5.0011
Cl 1.6130 8.7671 5.0011
Cl 3.1983 1.7003 2.0885
Cl 3.1983 8.7671 2.0885
Cl 4.4261 0.0000 4.6982
Cl 5.6453 5.2337 1.9406
```